# YIF2

A geometry-optimized YIF2 structure (PBE-GGA, Alexandria).

abc: 3.9874 3.9874 16.9952
angles: 90.00 90.00 120.00
Space group R-3m (No. 166, hexagonal axes)
Unique sites:
Y (0.0000, 0.0000, 0.0000) x3
I (0.0000, 0.0000, 0.5000) x3
F (0.0000, 0.0000, 0.3069) x6

Magnetization ... 0.0 μB/f.u.
Formation energy (no corrections) ... -2989 meV per atom
ρ ... 5.403 g cm⁻³
E above lowest polymorph ... 99 meV per atom